a.
Below is a relaxed structure of Eu3Rh, with properties calculated at the PBE level.

- Magnetization: 7.2 μB/f.u.

Lattice parameters (Å, degrees): 7.735 9.827 6.595 90.00 90.00 90.00
Space group Pnma (No. 62)
One atom of each set of equivalent atoms:
Eu (0.040, 0.250, 0.138) (multiplicity 4)
Eu (0.172, 0.066, 0.662) (multiplicity 8)
Rh (0.119, 0.750, 0.451) (multiplicity 4)



b.
Below is a relaxed structure of Eu3Rh, with properties calculated at the PBE level.

- Magnetization: 21.5 μB/f.u.

Lattice parameters (Å, degrees): 5.700 11.923 4.114 90.00 90.00 90.00
Space group Imm2 (No. 44)
One atom of each set of equivalent atoms:
Eu (0.000, 0.000, 0.000) (multiplicity 2)
Eu (0.000, 0.333, 0.003) (multiplicity 4)
Rh (0.000, 0.500, 0.503) (multiplicity 2)



Stability ranking, top entry: a; the second entry is 21 meV/atom less favorable.



a.
Below is a relaxed structure of Eu2SnRh, with properties calculated at the PBE level.

- Magnetization: 13.6 μB/f.u.

Lattice parameters (Å, degrees): 4.826 4.826 4.288 90.00 90.00 90.00
Space group P4/mmm (No. 123)
One atom of each set of equivalent atoms:
Eu (0.000, 0.500, 0.000) (multiplicity 2)
Sn (0.000, 0.000, 0.500) (multiplicity 1)
Rh (0.500, 0.500, 0.500) (multiplicity 1)



b.
Below is a relaxed structure of Eu2SnRh, with properties calculated at the PBE level.

- Magnetization: 13.5 μB/f.u.

Lattice parameters (Å, degrees): 3.465 3.465 8.560 90.00 90.00 90.00
Space group P4/mmm (No. 123)
One atom of each set of equivalent atoms:
Eu (0.000, 0.000, 0.211) (multiplicity 2)
Sn (0.500, 0.500, 0.500) (multiplicity 1)
Rh (0.500, 0.500, 0.000) (multiplicity 1)



Stability ranking, top entry: b; the second entry is 59 meV/atom less favorable.



a.
Below is a relaxed structure of SrEuRh2, with properties calculated at the PBE level.

- Magnetization: 6.5 μB/f.u.

Lattice parameters (Å, degrees): 3.543 3.543 7.211 90.00 90.00 90.00
Space group P4/mmm (No. 123)
One atom of each set of equivalent atoms:
Sr (0.000, 0.000, 0.000) (multiplicity 1)
Eu (0.000, 0.000, 0.500) (multiplicity 1)
Rh (0.500, 0.500, 0.274) (multiplicity 2)



b.
Below is a relaxed structure of SrEuRh2, with properties calculated at the PBE level.

- Magnetization: 6.6 μB/f.u.

Lattice parameters (Å, degrees): 7.116 7.116 7.116 90.00 90.00 90.00
Space group Fm-3m (No. 225)
One atom of each set of equivalent atoms:
Sr (0.000, 0.000, 0.000) (multiplicity 4)
Eu (0.000, 0.000, 0.500) (multiplicity 4)
Rh (0.250, 0.250, 0.250) (multiplicity 8)



Stability ranking, top entry: a; the second entry is 32 meV/atom less favorable.